[1]
Here is a relaxed InAg2Te crystal from the Alexandria database. Energies are from PBE-GGA.

spin magnetization: 0.0000 μB/atom
final energy: -33.61 eV/cell
Fermi-level density of states: 1.884 states/eV/f.u.

Geometry as CIF:
```
data_InAg2Te
_space_group_name_H-M_alt 'R -3 m'
_space_group_IT_number 166
_space_group_name_Hall '-R 3 2"'
_cell_length_a 3.5848
_cell_length_b 3.5848
_cell_length_c 25.4653
_cell_angle_alpha 90.00
_cell_angle_beta 90.00
_cell_angle_gamma 120.00
loop_
_atom_site_label
_atom_site_type_symbol
_atom_site_fract_x
_atom_site_fract_y
_atom_site_fract_z
In1 In 0.0000 0.0000 0.0000
Ag1 Ag 0.0000 0.0000 0.2506
Te1 Te 0.0000 0.0000 0.5000
```


[2]
Here is a relaxed Th2MgPN5 crystal from the Alexandria database. Energies are from PBE-GGA.

spin magnetization: 0.0000 μB/atom
final energy: -139.88 eV/cell
Fermi-level density of states: 1.076 states/eV/f.u.

Geometry as CIF:
```
data_Th2MgPN5
_space_group_name_H-M_alt 'P 4/m b m'
_space_group_IT_number 127
_space_group_name_Hall '-P 4 2ab'
_cell_length_a 6.7843
_cell_length_b 6.7843
_cell_length_c 5.5469
_cell_angle_alpha 90.00
_cell_angle_beta 90.00
_cell_angle_gamma 90.00
loop_
_atom_site_label
_atom_site_type_symbol
_atom_site_fract_x
_atom_site_fract_y
_atom_site_fract_z
Th1 Th 0.1826 0.3174 0.0000
Mg1 Mg 0.0000 0.0000 0.5000
P1 P 0.0000 0.5000 0.5000
N1 N 0.0000 0.0000 0.0000
N2 N 0.1270 0.6270 0.2793
```